DFT (PBE) results for an optimized crystal structure of KNa2Cl2.

Cell and atoms, written as extended XYZ:
```
5
Lattice="5.255 0.000 0.000 0.000 5.255 0.000 2.628 2.628 6.188" Properties=species:S:1:pos:R:3 pbc="T T T"
Na 2.628 2.628 2.201
Cl 2.628 5.255 3.094
K 0.000 0.000 0.000
Na 5.255 5.255 3.987
Cl 5.255 2.628 3.094
```

Summary:
E above lowest polymorph, meV/atom: 0
Formation energy (no corrections), eV/atom: -1.29

=====

DFT (PBE) results for an optimized crystal structure of Sc2TiRh4.

Cell and atoms, written as extended XYZ:
```
7
Lattice="-3.353 -2.047 2.005 0.638 -1.997 3.880 -2.566 4.681 5.338" Properties=species:S:1:pos:R:3 pbc="T T T"
Rh -3.280 2.638 6.911
Rh -1.970 2.516 4.126
Sc -3.921 0.335 8.337
Sc -1.360 0.302 2.886
Rh -2.001 -2.002 4.312
Ti 0.000 0.000 0.000
Rh -3.311 -1.880 7.097
```

Summary:
E, eV/cell: -54.7

=====

DFT (PBE) results for an optimized crystal structure of LaDy3Tl3.

Cell and atoms, written as extended XYZ:
```
28
Lattice="-3.387 -3.126 -8.257 8.491 -3.576 -2.130 -2.419 -8.177 4.088" Properties=species:S:1:pos:R:3 pbc="T T T"
La -3.949 -7.805 -5.514
Tl -1.153 -5.311 -0.384
Tl 3.219 -4.301 -0.906
Tl 2.704 -4.493 -7.371
Dy 0.489 -2.710 -1.147
Tl -3.535 -11.225 -5.122
Dy 1.821 -10.090 -4.271
Dy 3.367 -4.094 -4.313
Dy -0.482 -5.176 -6.743
Tl -0.508 -7.872 -5.094
Tl 1.088 -9.257 -1.144
Dy 2.253 -7.595 -6.906
Tl 3.859 -7.472 -4.177
Dy 2.453 -13.596 -5.756
Dy 4.217 -9.496 -1.577
Tl 0.286 -3.423 -4.228
Dy 5.596 -6.128 -1.905
Dy -1.566 -8.363 0.322
La 2.342 -9.864 2.032
Tl -3.845 -7.927 -2.050
Dy -1.590 -9.956 -2.967
Dy 1.804 -6.542 0.803
Tl 4.760 -7.636 0.930
Dy -2.255 -5.524 -3.332
Tl 4.326 -12.082 0.251
La 5.818 -5.668 -6.398
La 1.158 -6.421 -2.718
Tl 4.908 -8.273 -8.498
```

Summary:
E above lowest polymorph, meV/atom: 7

=====

DFT (PBE) results for an optimized crystal structure of KLaBe2.

Cell and atoms, written as extended XYZ:
```
4
Lattice="-3.365 -2.141 -3.523 0.974 -4.833 2.007 -2.692 0.419 2.317" Properties=species:S:1:pos:R:3 pbc="T T T"
La -0.859 -2.207 2.162
Be 0.000 0.000 0.000
K -3.029 -0.861 -0.603
Be -1.195 -3.487 -0.758
```

Summary:
E above lowest polymorph, meV/atom: 375